Compound: Ho2GaF8
Source: the Alexandria database
Functional: GGA-PBE
Structure: optimized geometry

Summary:
E_tot in eV for the cell shown: -131.11
Magnetic moment in μB per formula unit: 0.91
Energy relative to the elements, uncorrected in meV/atom: -3491

abc: 9.482 7.037 5.047
angles: 90.00 105.39 90.00
Space group C2/m (No. 12)
Asymmetric unit:
Ho 0.177 0.000 0.422 (multiplicity 4)
Ga 0.000 0.500 0.000 (multiplicity 2)
F 0.064 0.000 0.761 (multiplicity 4)
F 0.148 0.500 0.773 (multiplicity 4)
F 0.155 0.304 0.284 (multiplicity 8)